# 1
Na3TlSb: optimized geometry, GGA-PBE.

Calculated values
E above lowest polymorph (meV/atom): 242
Energy relative to the elements, uncorrected (kJ/mol of formula units): -27

abc: 5.878 5.878 5.878
angles: 90.00 90.00 90.00
Fractional coordinates of all 5 atoms:
Sb (0.000, 0.000, 0.000)
Tl (0.500, 0.500, 0.500)
Na (0.000, 0.500, 0.000)
Na (0.000, 0.000, 0.500)
Na (0.500, 0.000, 0.000)

# 2
PaCrOs2: optimized geometry, GGA-PBE.

Calculated values
E above lowest polymorph (meV/atom): 173
DFT formation energy (meV per atom): 107

abc: 4.050 4.050 5.593
angles: 68.77 68.77 60.00
Fractional coordinates of all 4 atoms:
Cr (0.500, 0.500, 0.500)
Pa (0.000, 0.000, 0.000)
Os (0.782, 0.782, 0.655)
Os (0.218, 0.218, 0.345)

# 3
FeSi2Mo: optimized geometry, GGA-PBE.

Calculated values
Energy relative to the elements, uncorrected (kJ/mol of formula units): -32

abc: 2.766 4.807 5.072
angles: 51.65 90.00 90.00
Fractional coordinates of all 4 atoms:
Fe (0.500, 0.500, 0.500)
Mo (0.000, 0.000, 0.500)
Si (0.000, 0.000, 0.000)
Si (0.500, 0.500, 0.000)

# 4
ScAgAsSe2: optimized geometry, GGA-PBE.

Calculated values
E above lowest polymorph (meV/atom): 276
Energy relative to the elements, uncorrected (kJ/mol of formula units): 113

abc: 5.047 5.047 4.910
angles: 90.00 90.00 90.00
Fractional coordinates of all 5 atoms:
Sc (0.500, 0.500, 0.500)
As (0.000, 0.000, 0.500)
Se (0.000, 0.500, 0.000)
Se (0.500, 0.000, 0.000)
Ag (0.000, 0.000, 0.000)

# 5
ReAg2Ru: optimized geometry, GGA-PBE.

Calculated values
E above lowest polymorph (meV/atom): 171
DFT formation energy (meV per atom): 420

abc: 3.886 2.797 6.573
angles: 64.46 90.00 90.00
Fractional coordinates of all 4 atoms:
Ag (0.000, 0.999, 0.003)
Ag (0.500, 0.250, 0.249)
Re (0.000, 0.461, 0.535)
Ru (0.500, 0.790, 0.714)

# 6
Ca4ZnH2: optimized geometry, GGA-PBE.

Calculated values
Uncorrected energy (eV/f.u.): -15.94

abc: 5.584 5.584 7.351
angles: 67.68 67.68 90.00
Fractional coordinates of all 7 atoms:
H (0.582, 0.582, 0.836)
H (0.418, 0.418, 0.164)
Zn (0.000, 0.000, 0.000)
Ca (0.754, 0.754, 0.492)
Ca (0.246, 0.246, 0.508)
Ca (0.000, 0.500, 0.000)
Ca (0.500, 0.000, 0.000)

# 7
Ho6AuSe5: optimized geometry, GGA-PBE.

Calculated values
Energy relative to the elements, uncorrected (kJ/mol of formula units): -1856

abc: 7.081 7.081 7.074
angles: 99.60 99.60 119.95
Fractional coordinates of all 12 atoms:
Au (0.000, 0.000, 0.000)
Ho (0.410, 0.081, 0.245)
Ho (0.919, 0.590, 0.755)
Ho (0.246, 0.246, 0.752)
Ho (0.754, 0.754, 0.248)
Ho (0.081, 0.410, 0.245)
Ho (0.590, 0.919, 0.755)
Se (0.829, 0.171, 0.500)
Se (0.665, 0.335, 0.000)
Se (0.500, 0.500, 0.500)
Se (0.335, 0.665, 0.000)
Se (0.171, 0.829, 0.500)

# 8
AlTe2Rh: optimized geometry, GGA-PBE.

Calculated values
Energy relative to the elements, uncorrected (kJ/mol of formula units): -135

abc: 4.515 4.515 6.673
angles: 76.80 76.80 51.20
Fractional coordinates of all 4 atoms:
Te (0.956, 0.956, 0.111)
Te (0.726, 0.726, 0.656)
Rh (0.266, 0.266, 0.353)
Al (0.552, 0.552, 0.381)

# 9
Cs2AlF: optimized geometry, GGA-PBE.

Calculated values
E above lowest polymorph (meV/atom): 324
Energy relative to the elements, uncorrected (kJ/mol of formula units): -199

abc: 6.149 6.149 6.149
angles: 60.00 60.00 60.00
Fractional coordinates of all 4 atoms:
Cs (0.250, 0.250, 0.250)
Cs (0.750, 0.750, 0.750)
Al (0.500, 0.500, 0.500)
F (0.000, 0.000, 0.000)

# 10
BaAc3Pr: optimized geometry, GGA-PBE.

Calculated values
DFT formation energy (meV per atom): 93

abc: 5.680 12.585 8.938
angles: 134.99 90.00 90.00
Fractional coordinates of all 10 atoms:
Ba (0.750, 0.247, 0.990)
Ba (0.250, 0.753, 0.010)
Ac (0.250, 0.149, 0.203)
Ac (0.750, 0.851, 0.797)
Ac (0.750, 0.440, 0.592)
Ac (0.250, 0.560, 0.408)
Ac (0.250, 0.339, 0.782)
Ac (0.750, 0.661, 0.218)
Pr (0.250, 0.945, 0.597)
Pr (0.750, 0.055, 0.403)

# 11
Mg2ScTa: optimized geometry, GGA-PBE.

Calculated values
E above lowest polymorph (meV/atom): 135
DFT formation energy (meV per atom): 205

abc: 2.965 2.965 9.427
angles: 90.00 90.00 90.12
Fractional coordinates of all 4 atoms:
Mg (0.000, 0.000, 0.985)
Mg (0.000, 0.000, 0.515)
Sc (0.500, 0.500, 0.250)
Ta (0.500, 0.500, 0.750)

# 12
LiCl3O: optimized geometry, GGA-PBE.

Calculated values
E above lowest polymorph (meV/atom): 0
Energy relative to the elements, uncorrected (kJ/mol of formula units): -39

abc: 4.531 4.531 4.531
angles: 90.00 90.00 90.00
Fractional coordinates of all 5 atoms:
Li (0.500, 0.500, 0.500)
O (0.000, 0.000, 0.000)
Cl (0.000, 0.500, 0.000)
Cl (0.000, 0.000, 0.500)
Cl (0.500, 0.000, 0.000)